Compound: LaMg2Ni
Source: the Alexandria database
Functional: PBE-GGA
Structure: relaxed

- space-group type = No. 65
- total DFT energy (no corrections) (eV/atom) = -3.565
- ΔH_f (0 K) (eV/atom) = -0.090

a b c (Å): 5.0564 5.0564 4.3789
angles (deg): 90.00 90.00 117.28
With the nearest neighbours (Å) after each atom.
Positions (direct):
La: 0.0000 0.0000 0.0000  2 Ni 2.63
Mg: 0.3340 0.6660 0.5000  2 Ni 2.62, 1 Mg 2.87
Mg: 0.6660 0.3340 0.5000  2 Ni 2.62, 1 Mg 2.87
Ni: 0.5000 0.5000 0.0000  4 Mg 2.62, 2 La 2.63